# 1
{
  "formula": "TbErOs4",
  "functional": "PBE",
  "state": "optimized geometry",
  "lattice_angstrom": [[-2.452, 4.172, 2.285], [-3.708, 2.740, -2.716], [-5.153, -0.362, 1.398]],
  "species": ["Tb", "Os", "Os", "Os", "Os", "Er"],
  "fractional_positions": [[0.250, 0.250, 0.250], [0.625, 0.625, 0.125], [0.625, 0.125, 0.625], [0.625, 0.625, 0.625], [0.125, 0.625, 0.625], [0.000, 0.000, 0.000]],
  "e_form_ev_per_atom": -0.28
}

# 2
{
  "formula": "Tb2ErOs",
  "functional": "PBE",
  "state": "optimized geometry",
  "lattice_angstrom": [[-0.644, -1.342, 3.054], [3.190, 0.662, 0.963], [-2.674, 8.360, 3.111]],
  "species": ["Tb", "Tb", "Os", "Er"],
  "fractional_positions": [[0.000, 0.000, 0.819], [0.000, 0.000, 0.181], [0.500, 0.500, 0.000], [0.500, 0.500, 0.500]],
  "e_above_lowest_polymorph_mev_per_atom": 187.3,
  "e_form_ev_per_atom": -0.07
}

# 3
{
  "formula": "TbEr3Os",
  "functional": "PBE",
  "state": "optimized geometry",
  "lattice_angstrom": [[5.379, 0.000, 0.000], [0.000, 5.379, 0.000], [0.000, 0.000, 5.379]],
  "species": ["Tb", "Os", "Er", "Er", "Er"],
  "fractional_positions": [[0.500, 0.500, 0.500], [0.000, 0.000, 0.000], [0.000, 0.500, 0.000], [0.000, 0.000, 0.500], [0.500, 0.000, 0.000]],
  "e_above_lowest_polymorph_mev_per_atom": 139.3,
  "e_form_ev_per_atom": 0.01
}

# 4
{
  "formula": "Tb2ErOs",
  "functional": "PBE",
  "state": "optimized geometry",
  "lattice_angstrom": [[6.329, 0.000, 0.000], [0.000, 7.385, 0.000], [0.000, 0.000, 9.101]],
  "species": ["Tb", "Tb", "Tb", "Tb", "Tb", "Tb", "Tb", "Tb", "Er", "Er", "Er", "Er", "Os", "Os", "Os", "Os"],
  "fractional_positions": [[0.169, 0.675, 0.063], [0.331, 0.175, 0.437], [0.831, 0.325, 0.563], [0.669, 0.825, 0.937], [0.831, 0.325, 0.937], [0.669, 0.825, 0.563], [0.169, 0.675, 0.437], [0.331, 0.175, 0.063], [0.632, 0.540, 0.250], [0.868, 0.040, 0.250], [0.368, 0.460, 0.750], [0.132, 0.960, 0.750], [0.036, 0.383, 0.250], [0.464, 0.883, 0.250], [0.964, 0.617, 0.750], [0.536, 0.117, 0.750]],
  "e_above_lowest_polymorph_mev_per_atom": 0.0,
  "e_form_ev_per_atom": -0.25
}

Number 1 is which compound?
TbErOs4

Please write out number 1 again, unchanged.
{
  "formula": "TbErOs4",
  "functional": "PBE",
  "state": "optimized geometry",
  "lattice_angstrom": [[-2.452, 4.172, 2.285], [-3.708, 2.740, -2.716], [-5.153, -0.362, 1.398]],
  "species": ["Tb", "Os", "Os", "Os", "Os", "Er"],
  "fractional_positions": [[0.250, 0.250, 0.250], [0.625, 0.625, 0.125], [0.625, 0.125, 0.625], [0.625, 0.625, 0.625], [0.125, 0.625, 0.625], [0.000, 0.000, 0.000]],
  "e_form_ev_per_atom": -0.28
}